[1]
# NbPdSI, relaxed, DFT PBE
data_NbPdSI
_symmetry_space_group_name_H-M 'P 1'
_symmetry_Int_Tables_number 1
_cell_length_a 3.922
_cell_length_b 4.146
_cell_length_c 6.435
_cell_angle_alpha 90.00
_cell_angle_beta 90.00
_cell_angle_gamma 90.00
loop_
_symmetry_equiv_pos_as_xyz
'x,y,z'
loop_
_atom_site_label
_atom_site_type_symbol
_atom_site_fract_x
_atom_site_fract_y
_atom_site_fract_z
I1 I 0.000 0.000 0.012
Nb1 Nb 0.000 0.500 0.311
S1 S 0.500 0.500 0.539
Pd1 Pd 0.500 0.000 0.369
# - polymorph energy (0 for the lowest one) (eV/atom) = 0.026
# - SG = Pmm2
# - spin magnetization (μB/f.u.) = 0.0
# - density (Mg/m³) = 5.69

***

[2]
# LaBeZn2Au, relaxed, DFT PBE
data_LaBeZn2Au
_symmetry_space_group_name_H-M 'P 1'
_symmetry_Int_Tables_number 1
_cell_length_a 4.527
_cell_length_b 4.527
_cell_length_c 4.691
_cell_angle_alpha 90.00
_cell_angle_beta 90.00
_cell_angle_gamma 90.00
loop_
_symmetry_equiv_pos_as_xyz
'x,y,z'
loop_
_atom_site_label
_atom_site_type_symbol
_atom_site_fract_x
_atom_site_fract_y
_atom_site_fract_z
Be1 Be 0.000 0.000 0.000
Zn1 Zn 0.000 0.500 0.000
Zn2 Zn 0.500 0.000 0.000
Au1 Au 0.000 0.000 0.500
La1 La 0.500 0.500 0.500
# - SG = P4/mmm
# - spin magnetization (μB/f.u.) = 0.0
# - density (Mg/m³) = 8.22
# - calculated formation energy (kJ per mole of atoms) = -24.8